No. 1
## Ba3Hg6Pd5 (PBE-GGA)

Data for a relaxed structure of Ba3Hg6Pd5.

```
data_Ba3Hg6Pd5
_cell_length_a 4.7438
_cell_length_b 14.3189
_cell_length_c 10.3048
_cell_angle_alpha 90.00
_cell_angle_beta 90.00
_cell_angle_gamma 90.00
_symmetry_space_group_name_H-M 'P 1'
_symmetry_Int_Tables_number 1
loop_
_symmetry_equiv_pos_as_xyz
'x,y,z'
loop_
_atom_site_label
_atom_site_fract_x
_atom_site_fract_y
_atom_site_fract_z
Ba1 0.2500 0.0598 0.2438
Ba2 0.2500 0.4402 0.2438
Ba3 0.2500 0.7500 0.2668
Ba4 0.7500 0.2500 0.7332
Ba5 0.7500 0.5598 0.7562
Ba6 0.7500 0.9402 0.7562
Hg1 0.2500 0.0643 0.5864
Hg2 0.2500 0.2500 0.0255
Hg3 0.2500 0.2500 0.4312
Hg4 0.2500 0.4357 0.5864
Hg5 0.2500 0.6025 0.9864
Hg6 0.2500 0.8975 0.9864
Hg7 0.7500 0.1025 0.0136
Hg8 0.7500 0.3975 0.0136
Hg9 0.7500 0.5643 0.4136
Hg10 0.7500 0.7500 0.5688
Hg11 0.7500 0.7500 0.9745
Hg12 0.7500 0.9357 0.4136
Pd1 0.2500 0.0877 0.8620
Pd2 0.2500 0.4123 0.8620
Pd3 0.2500 0.6435 0.5472
Pd4 0.2500 0.7500 0.7813
Pd5 0.2500 0.8565 0.5472
Pd6 0.7500 0.1435 0.4528
Pd7 0.7500 0.2500 0.2187
Pd8 0.7500 0.3565 0.4528
Pd9 0.7500 0.5877 0.1380
Pd10 0.7500 0.9123 0.1380
```

Calculated values
E	-2.8423	eV/atom
ΔH_f (0 K)	-0.45	eV per atom



No. 2
## PdCSe2 (PBE-GGA)

Data for a relaxed structure of PdCSe2.

```
data_PdCSe2
_cell_length_a 7.8729
_cell_length_b 7.8729
_cell_length_c 7.8729
_cell_angle_alpha 23.01
_cell_angle_beta 23.01
_cell_angle_gamma 23.01
_symmetry_space_group_name_H-M 'P 1'
_symmetry_Int_Tables_number 1
loop_
_symmetry_equiv_pos_as_xyz
'x,y,z'
loop_
_atom_site_label
_atom_site_fract_x
_atom_site_fract_y
_atom_site_fract_z
Pd1 0.0000 0.0000 0.0000
C1 0.5000 0.5000 0.5000
Se1 0.1060 0.1060 0.1060
Se2 0.8940 0.8940 0.8940
```

Calculated values
ΔE_f (raw)	1.063	eV per atom
E	-4.2839	eV/atom



No. 3
## Li2Pr2CuSi4 (PBE-GGA)

Data for a relaxed structure of Li2Pr2CuSi4.

```
data_Li2Pr2CuSi4
_cell_length_a 6.1797
_cell_length_b 6.1797
_cell_length_c 6.1797
_cell_angle_alpha 121.38
_cell_angle_beta 121.38
_cell_angle_gamma 87.62
_symmetry_space_group_name_H-M 'P 1'
_symmetry_Int_Tables_number 1
loop_
_symmetry_equiv_pos_as_xyz
'x,y,z'
loop_
_atom_site_label
_atom_site_fract_x
_atom_site_fract_y
_atom_site_fract_z
Li1 0.2139 0.2139 0.0000
Li2 0.7861 0.7861 0.0000
Pr1 0.2500 0.7500 0.5000
Pr2 0.7500 0.2500 0.5000
Cu1 0.5000 0.5000 0.0000
Si1 0.2091 0.2091 0.4182
Si2 0.2091 0.7909 0.0000
Si3 0.7909 0.2091 0.0000
Si4 0.7909 0.7909 0.5818
```

Calculated values
ΔE_f (raw)	-0.393	eV per atom
E	-4.7454	eV/atom



No. 4
## Cd2In (PBE-GGA)

Data for a relaxed structure of Cd2In.

```
data_Cd2In
_cell_length_a 10.5714
_cell_length_b 10.5714
_cell_length_c 10.5714
_cell_angle_alpha 162.84
_cell_angle_beta 152.75
_cell_angle_gamma 32.39
_symmetry_space_group_name_H-M 'P 1'
_symmetry_Int_Tables_number 1
loop_
_symmetry_equiv_pos_as_xyz
'x,y,z'
loop_
_atom_site_label
_atom_site_fract_x
_atom_site_fract_y
_atom_site_fract_z
Cd1 0.2884 0.0384 0.2500
Cd2 0.4376 0.1876 0.2500
Cd3 0.5624 0.8124 0.7500
Cd4 0.7116 0.9616 0.7500
In1 0.1329 0.3829 0.7500
In2 0.8671 0.6171 0.2500
```

Calculated values
E	-1.4470	eV/atom
ΔH_f (0 K)	0.08	eV per atom